Record 1
Compound: LiAgI3
Source: Alexandria via LeMat-Bulk
Functional: PBE
Structure: optimized geometry

Cell: 5.758 5.758 5.758 Å, 90.00 90.00 90.00°
Space group Pm-3m (No. 221)
Symmetry-distinct sites (fractional):
Li (0.000, 0.000, 0.000) (multiplicity 1)
Ag (0.500, 0.500, 0.500) (multiplicity 1)
I (0.000, 0.500, 0.500) (multiplicity 3)

Properties
density	4.3	g/cm3
M_tot	0.00	μB per formula unit
raw formation energy	-280	meV per atom
energy above the most stable polymorph in this dataset	208	meV per atom

=====

Record 2
Compound: LiAgI
Source: Alexandria via LeMat-Bulk
Functional: PBE
Structure: optimized geometry

Cell: 5.0577 5.0577 3.7224 Å, 90.00 90.00 120.00°
Space group P3m1 (No. 156)
Symmetry-distinct sites (fractional):
Li (0.0000, 0.0000, 0.0000) (multiplicity 1)
Ag (0.3333, 0.6667, 0.4705) (multiplicity 1)
I (0.6667, 0.3333, 0.4697) (multiplicity 1)

Properties
density	4.9	g/cm3
M_tot	0.00	μB per formula unit
raw formation energy	-87	meV per atom
energy above the most stable polymorph in this dataset	452	meV per atom

=====

Record 3
Compound: LiAg2I
Source: Alexandria via LeMat-Bulk
Functional: PBE
Structure: optimized geometry

Cell: 7.160 7.160 7.160 Å, 90.00 90.00 90.00°
Space group Fm-3m (No. 225)
Symmetry-distinct sites (fractional):
Li (0.000, 0.000, 0.000) (multiplicity 4)
Ag (0.250, 0.250, 0.250) (multiplicity 8)
I (0.000, 0.000, 0.500) (multiplicity 4)

Properties
density	6.3	g/cm3
M_tot	0.00	μB per formula unit
raw formation energy	150	meV per atom

=====

Record 4
Compound: Li2MnAgI6
Source: Alexandria via LeMat-Bulk
Functional: PBE
Structure: optimized geometry

Cell: 14.614 18.520 5.927 Å, 90.00 112.79 90.00°
Space group C2/c (No. 15)
Symmetry-distinct sites (fractional):
Li (0.084, 0.070, 0.076) (multiplicity 8)
Mn (0.000, 0.327, 0.750) (multiplicity 4)
Ag (0.000, 0.332, 0.250) (multiplicity 4)
I (0.120, 0.415, 0.659) (multiplicity 8)
I (0.122, 0.243, 0.087) (multiplicity 8)
I (0.123, 0.080, 0.606) (multiplicity 8)

Properties
density	4.2	g/cm3
M_tot	3.95	μB per formula unit
raw formation energy	-612	meV per atom

=====

Record 5
Compound: LiAgMoI2
Source: Alexandria via LeMat-Bulk
Functional: PBE
Structure: optimized geometry

Cell: 5.340 5.340 4.904 Å, 90.00 90.00 90.00°
Space group P4/mmm (No. 123)
Symmetry-distinct sites (fractional):
Li (0.000, 0.000, 0.000) (multiplicity 1)
Ag (0.000, 0.000, 0.500) (multiplicity 1)
Mo (0.500, 0.500, 0.500) (multiplicity 1)
I (0.000, 0.500, 0.000) (multiplicity 2)

Properties
density	5.5	g/cm3
M_tot	4.27	μB per formula unit
raw formation energy	716	meV per atom

=====

Record 6
Compound: Li2NdAgI6
Source: Alexandria via LeMat-Bulk
Functional: PBE
Structure: optimized geometry

Cell: 7.6724 7.6724 21.5724 Å, 90.00 90.00 120.00°
Space group R3 (No. 146, hexagonal axes)
Symmetry-distinct sites (fractional):
Li (0.0000, 0.0000, 0.0000) (multiplicity 3)
Li (0.0000, 0.0000, 0.4791) (multiplicity 3)
Nd (0.0000, 0.0000, 0.6738) (multiplicity 3)
Ag (0.0000, 0.0000, 0.2527) (multiplicity 3)
I (0.0041, 0.6388, 0.2437) (multiplicity 9)
I (0.0070, 0.3532, 0.7438) (multiplicity 9)

Properties
density	4.7	g/cm3
M_tot	0.00	μB per formula unit
raw formation energy	-1063	meV per atom

=====

Record 7
Compound: LiAgIO2
Source: Alexandria via LeMat-Bulk
Functional: PBE
Structure: optimized geometry

Cell: 3.942 3.942 5.615 Å, 90.00 90.00 90.00°
Space group P4/mmm (No. 123)
Symmetry-distinct sites (fractional):
Li (0.000, 0.000, 0.000) (multiplicity 1)
Ag (0.500, 0.500, 0.500) (multiplicity 1)
I (0.000, 0.000, 0.500) (multiplicity 1)
O (0.000, 0.500, 0.000) (multiplicity 2)

Properties
density	5.2	g/cm3
M_tot	0.00	μB per formula unit
raw formation energy	276	meV per atom
energy above the most stable polymorph in this dataset	280	meV per atom

=====

Record 8
Compound: LiAgIO2
Source: Alexandria via LeMat-Bulk
Functional: PBE
Structure: optimized geometry

Cell: 4.048 4.048 6.627 Å, 90.00 90.00 90.00°
Space group P4/mmm (No. 123)
Symmetry-distinct sites (fractional):
Li (0.000, 0.000, 0.000) (multiplicity 1)
Ag (0.500, 0.500, 0.500) (multiplicity 1)
I (0.500, 0.500, 0.000) (multiplicity 1)
O (0.000, 0.500, 0.500) (multiplicity 2)

Properties
density	4.2	g/cm3
M_tot	1.53	μB per formula unit
raw formation energy	-4	meV per atom
energy above the most stable polymorph in this dataset	0	meV per atom

=====

Record 9
Compound: Li2AgIO
Source: Alexandria via LeMat-Bulk
Functional: PBE
Structure: optimized geometry

Cell: 4.255 4.255 4.717 Å, 90.00 90.00 90.00°
Space group P4/mmm (No. 123)
Symmetry-distinct sites (fractional):
Li (0.000, 0.500, 0.000) (multiplicity 2)
Ag (0.000, 0.000, 0.500) (multiplicity 1)
I (0.500, 0.500, 0.500) (multiplicity 1)
O (0.000, 0.000, 0.000) (multiplicity 1)

Properties
density	5.1	g/cm3
M_tot	0.00	μB per formula unit
raw formation energy	-980	meV per atom

=====

Record 10
Compound: LiAg2PbI
Source: Alexandria via LeMat-Bulk
Functional: PBE
Structure: optimized geometry

Cell: 5.452 5.452 6.443 Å, 90.00 90.00 90.00°
Space group P4/mmm (No. 123)
Symmetry-distinct sites (fractional):
Li (0.000, 0.000, 0.000) (multiplicity 1)
Ag (0.000, 0.500, 0.500) (multiplicity 2)
Pb (0.500, 0.500, 0.000) (multiplicity 1)
I (0.500, 0.500, 0.500) (multiplicity 1)

Properties
density	4.8	g/cm3
M_tot	0.00	μB per formula unit
raw formation energy	606	meV per atom

=====

Record 11
Compound: LiAg2PbI6
Source: Alexandria via LeMat-Bulk
Functional: PBE
Structure: optimized geometry

Cell: 15.855 14.952 8.138 Å, 90.00 115.39 90.00°
Space group C2/c (No. 15)
Symmetry-distinct sites (fractional):
Li (0.000, 0.197, 0.250) (multiplicity 4)
Ag (0.186, 0.412, 0.726) (multiplicity 8)
Pb (0.000, 0.106, 0.750) (multiplicity 4)
I (0.102, 0.461, 0.948) (multiplicity 8)
I (0.120, 0.231, 0.618) (multiplicity 8)
I (0.122, 0.074, 0.186) (multiplicity 8)

Properties
density	4.5	g/cm3
M_tot	0.00	μB per formula unit
raw formation energy	-449	meV per atom

=====

Record 12
Compound: LiAgPbI4
Source: Alexandria via LeMat-Bulk
Functional: PBE
Structure: optimized geometry

Cell: 8.982 9.108 12.850 Å, 90.00 90.00 90.00°
Space group Imma (No. 74)
Symmetry-distinct sites (fractional):
Li (0.250, 0.250, 0.250) (multiplicity 4)
Ag (0.000, 0.250, 0.644) (multiplicity 4)
Pb (0.000, 0.000, 0.000) (multiplicity 4)
I (0.000, 0.024, 0.251) (multiplicity 8)
I (0.242, 0.250, 0.490) (multiplicity 8)

Properties
density	5.2	g/cm3
M_tot	0.00	μB per formula unit
raw formation energy	-673	meV per atom

=====

Record 13
Compound: Li2PmAgI6
Source: Alexandria via LeMat-Bulk
Functional: PBE
Structure: optimized geometry

Cell: 7.6583 7.6583 21.5303 Å, 90.00 90.00 120.00°
Space group R3 (No. 146, hexagonal axes)
Symmetry-distinct sites (fractional):
Li (0.0000, 0.0000, 0.0000) (multiplicity 3)
Li (0.0000, 0.0000, 0.4787) (multiplicity 3)
Pm (0.0000, 0.0000, 0.8060) (multiplicity 3)
Ag (0.0000, 0.0000, 0.2264) (multiplicity 3)
I (0.0172, 0.3400, 0.0690) (multiplicity 9)
I (0.0329, 0.6945, 0.5687) (multiplicity 9)

Properties
density	4.7	g/cm3
M_tot	0.00	μB per formula unit
raw formation energy	-1063	meV per atom

=====

Record 14
Compound: Li2PrAgI6
Source: Alexandria via LeMat-Bulk
Functional: PBE
Structure: optimized geometry

Cell: 7.6867 7.6867 21.6128 Å, 90.00 90.00 120.00°
Space group R3 (No. 146, hexagonal axes)
Symmetry-distinct sites (fractional):
Li (0.0000, 0.0000, 0.0000) (multiplicity 3)
Li (0.0000, 0.0000, 0.4796) (multiplicity 3)
Pr (0.0000, 0.0000, 0.8054) (multiplicity 3)
Ag (0.0000, 0.0000, 0.2275) (multiplicity 3)
I (0.0223, 0.3404, 0.0691) (multiplicity 9)
I (0.0311, 0.6943, 0.5697) (multiplicity 9)

Properties
density	4.6	g/cm3
M_tot	0.00	μB per formula unit
raw formation energy	-1063	meV per atom

=====

Record 15
Compound: LiPrAg2I6
Source: Alexandria via LeMat-Bulk
Functional: PBE
Structure: optimized geometry

Cell: 7.7945 7.7945 21.7753 Å, 90.00 90.00 120.00°
Space group R-3 (No. 148, hexagonal axes)
Symmetry-distinct sites (fractional):
Li (0.0000, 0.0000, 0.0000) (multiplicity 3)
Pr (0.0000, 0.0000, 0.5000) (multiplicity 3)
Ag (0.0000, 0.0000, 0.2472) (multiplicity 6)
I (0.0081, 0.6473, 0.7482) (multiplicity 18)

Properties
density	4.9	g/cm3
M_tot	0.00	μB per formula unit
raw formation energy	-857	meV per atom

=====

Record 16
Compound: Li2PuAgI6
Source: Alexandria via LeMat-Bulk
Functional: PBE
Structure: optimized geometry

Cell: 7.5754 7.5754 21.1772 Å, 90.00 90.00 120.00°
Space group R3 (No. 146, hexagonal axes)
Symmetry-distinct sites (fractional):
Li (0.0000, 0.0000, 0.0000) (multiplicity 3)
Li (0.0000, 0.0000, 0.4936) (multiplicity 3)
Pu (0.0000, 0.0000, 0.6767) (multiplicity 3)
Ag (0.0000, 0.0000, 0.1887) (multiplicity 3)
I (0.0072, 0.3552, 0.2506) (multiplicity 9)
I (0.0066, 0.6868, 0.0873) (multiplicity 9)

Properties
density	5.3	g/cm3
M_tot	5.00	μB per formula unit
raw formation energy	-911	meV per atom

=====

Record 17
Compound: RbLi2AgI4
Source: Alexandria via LeMat-Bulk
Functional: PBE
Structure: optimized geometry

Cell: 7.641 7.641 10.617 Å, 90.00 90.00 90.00°
Space group I-42m (No. 121)
Symmetry-distinct sites (fractional):
Rb (0.000, 0.000, 0.000) (multiplicity 2)
Li (0.000, 0.500, 0.250) (multiplicity 4)
Ag (0.000, 0.000, 0.500) (multiplicity 2)
I (0.209, 0.209, 0.335) (multiplicity 8)

Properties
density	3.8	g/cm3
M_tot	0.00	μB per formula unit
raw formation energy	-998	meV per atom

=====

Record 18
Compound: Rb2LiAgI4
Source: Alexandria via LeMat-Bulk
Functional: PBE
Structure: optimized geometry

Cell: 12.761 14.607 9.587 Å, 90.00 130.76 90.00°
Space group C2/c (No. 15)
Symmetry-distinct sites (fractional):
Rb (0.000, 0.000, 0.000) (multiplicity 4)
Rb (0.250, 0.250, 0.000) (multiplicity 4)
Li (0.000, 0.500, 0.000) (multiplicity 4)
Ag (0.250, 0.250, 0.500) (multiplicity 4)
I (0.036, 0.255, 0.501) (multiplicity 8)
I (0.213, 0.496, 0.993) (multiplicity 8)

Properties
density	3.9	g/cm3
M_tot	0.00	μB per formula unit
raw formation energy	-1035	meV per atom

=====

Record 19
Compound: Rb3LiAg2I6
Source: Alexandria via LeMat-Bulk
Functional: PBE
Structure: optimized geometry

Cell: 8.8017 8.8017 9.4218 Å, 90.00 90.00 120.00°
Space group P-3m1 (No. 164)
Symmetry-distinct sites (fractional):
Rb (0.0000, 0.0000, 0.0000) (multiplicity 1)
Rb (0.3333, 0.6667, 0.6380) (multiplicity 2)
Li (0.0000, 0.0000, 0.5000) (multiplicity 1)
Ag (0.3333, 0.6667, 0.2639) (multiplicity 2)
I (0.1551, 0.3102, 0.2976) (multiplicity 6)

Properties
density	3.3	g/cm3
M_tot	0.00	μB per formula unit
raw formation energy	-930	meV per atom

=====

Record 20
Compound: RbLiAg2I4
Source: Alexandria via LeMat-Bulk
Functional: PBE
Structure: optimized geometry

Cell: 7.666 8.716 9.435 Å, 90.00 90.00 90.00°
Space group I222 (No. 23)
Symmetry-distinct sites (fractional):
Rb (0.000, 0.000, 0.000) (multiplicity 2)
Li (0.000, 0.000, 0.500) (multiplicity 2)
Ag (0.000, 0.500, 0.159) (multiplicity 4)
I (0.218, 0.183, 0.334) (multiplicity 8)

Properties
density	4.3	g/cm3
M_tot	0.00	μB per formula unit
raw formation energy	-780	meV per atom

=====

| no. | density of states at the Fermi level (states/eV per cell) |
| --- | --- |
| 1 | 2.0 |
| 2 | 1.4 |
| 3 | 3.1 |
| 4 | 14.8 |
| 5 | 1.5 |
| 6 | 0.0 |
| 7 | 9.4 |
| 8 | 4.6 |
| 9 | 0.0 |
| 10 | 2.0 |
| 11 | 13.9 |
| 12 | 0.0 |
| 13 | 0.0 |
| 14 | 0.0 |
| 15 | 0.0 |
| 16 | 37.8 |
| 17 | 0.0 |
| 18 | 0.0 |
| 19 | 0.0 |
| 20 | 0.0 |